The following is a GGA-PBE calculation of crystalline BSbH at its relaxed geometry, from Alexandria via LeMat-Bulk.

Properties
The total magnetization comes out at 0.00 μB/f.u. The value obtained for the energy above the most stable polymorph in this dataset is 0.1113 eV per atom. The calculation puts the uncorrected energy at -4.439 eV/atom.

Structure (CIF):
```
data_BSbH
_chemical_formula_sum 'B2 Sb2 H2'
_symmetry_space_group_name_H-M 'P 1'
_symmetry_Int_Tables_number 1
_cell_length_a 3.115
_cell_length_b 4.212
_cell_length_c 8.060
_cell_angle_alpha 76.34
_cell_angle_beta 83.03
_cell_angle_gamma 87.71
loop_
_symmetry_equiv_pos_as_xyz
'x,y,z'
loop_
_atom_site_label
_atom_site_fract_x
_atom_site_fract_y
_atom_site_fract_z
B1 0.000 0.000 0.000
B2 0.493 0.054 0.049
Sb1 0.312 0.634 0.569
Sb2 0.402 0.236 0.315
H1 0.016 0.868 0.879
H2 0.749 0.282 0.944
```

***

The following is a GGA-PBE calculation of crystalline Zr8Co2As at its relaxed geometry, from Alexandria via LeMat-Bulk.

Properties
The total magnetization comes out at 0.00 μB/f.u. The calculation puts the formation energy at -186 meV/atom. The calculation puts the uncorrected energy at -8.118 eV/atom.

Structure (CIF):
```
data_Zr8Co2As
_chemical_formula_sum 'Zr16 Co4 As2'
_symmetry_space_group_name_H-M 'C 1 m 1'
_symmetry_Int_Tables_number 8
_cell_length_a 7.414
_cell_length_b 11.792
_cell_length_c 5.518
_cell_angle_alpha 90.00
_cell_angle_beta 106.41
_cell_angle_gamma 90.00
loop_
_symmetry_equiv_pos_as_xyz
'x,y,z'
'x,-y,z'
'x+1/2,y+1/2,z'
'x+1/2,-y+1/2,z'
loop_
_atom_site_label
_atom_site_fract_x
_atom_site_fract_y
_atom_site_fract_z
Zr1 0.000 0.000 0.000
Zr2 0.084 0.377 0.755
Zr3 0.152 0.128 0.571
Zr4 0.261 0.500 0.356
Zr5 0.363 0.235 0.168
Co1 0.385 0.301 0.717
As1 0.375 0.000 0.314
```